# Cs3U4Se12

A geometry-optimized Cs3U4Se12 structure (PBE, Alexandria).

Properties
Formation energy from raw total energies = -1.1068 eV/atom
D(E_F) = 0.8233 states/eV/atom
Density = 5.821 g/cm³

```
Cs3U4Se12
1.0
0.4095 -1.1423 -9.4009
8.7788 -0.0526 3.5747
-5.0125 -7.0764 3.8273
Cs U Se
3 4 12
Cartesian
4.5942 -0.5975 -2.9131 Cs
1.8832 -3.5645 3.7010 Cs
-2.3015 -4.1093 -2.7868 Cs
2.0880 -4.1357 -0.9994 U
0.2048 -0.5711 -4.7004 U
-2.5062 -3.5382 1.9136 U
4.3894 -0.0263 1.7873 U
1.6758 -7.4010 4.1608 Se
2.5001 -0.8703 -6.1597 Se
-0.2088 -3.8337 0.4569 Se
-3.6579 -5.5942 0.5230 Se
-1.1580 -6.4641 -5.6365 Se
3.0307 -5.9198 0.8487 Se
0.9398 -6.1922 -2.3923 Se
5.3339 -1.8073 3.6376 Se
4.3848 -4.4376 -2.4558 Se
7.8338 -2.6771 -2.5219 Se
1.1452 -2.3515 -2.8476 Se
3.2361 -2.0792 0.3934 Se
```

# Cs2U2Se5

A geometry-optimized Cs2U2Se5 structure (PBE, Alexandria).

Properties
Energy above the lowest structure with this stoichiometry = 0.161 eV/atom
Formation energy from raw total energies = -1.0779 eV/atom
D(E_F) = 1.7757 states/eV/atom
Density = 4.974 g/cm³

```
Cs2U2Se5
1.0
-1.1552 5.1305 -1.9585
-3.8478 -5.7215 -4.6784
-5.6189 1.3248 6.7847
Cs U Se
2 2 5
Cartesian
-7.2289 -1.6205 0.0189 Cs
-3.3931 2.3544 0.1289 Cs
-6.4234 0.2241 4.3757 U
-4.1986 0.5098 -4.2279 U
-3.2786 -2.0302 -3.3844 Se
-7.3434 2.7641 3.5322 Se
-4.6605 -0.0964 2.4965 Se
-5.9615 0.8303 -2.3486 Se
0.0000 0.0000 0.0000 Se
```

# Cs3U2Se6

A geometry-optimized Cs3U2Se6 structure (PBE, Alexandria).

Properties
Formation energy from raw total energies = -1.1488 eV/atom
D(E_F) = 1.1096 states/eV/atom
Density = 4.997 g/cm³

```
Cs3U2Se6
1.0
5.3651 0.0000 -1.0530
-0.2067 5.3611 -1.0530
0.2521 0.2620 15.4782
Cs U Se
3 2 6
Cartesian
0.0000 0.0000 0.0000 Cs
4.3607 4.5321 8.0237 Cs
1.0498 1.0910 5.3484 Cs
2.2514 2.3399 11.4705 U
3.1591 3.2833 1.9016 U
0.3827 3.1857 1.9500 Se
3.1686 0.5052 1.9500 Se
5.0278 2.4374 11.4221 Se
2.2419 5.1179 11.4221 Se
3.6487 3.7921 4.3961 Se
1.7618 1.8310 8.9760 Se
```

# CsU2Se4

A geometry-optimized CsU2Se4 structure (PBE, Alexandria).

Properties
Energy above the lowest structure with this stoichiometry = 0.000 eV/atom
Formation energy from raw total energies = -1.2401 eV/atom
D(E_F) = 1.3777 states/eV/atom
Density = 5.794 g/cm³

```
CsU2Se4
1.0
-1.4759 2.7997 -2.7658
6.0718 -0.4707 -3.7166
-5.5293 -7.7485 -1.6990
Cs U Se
1 2 4
Cartesian
2.2979 1.1645 -3.2412 Cs
-1.6025 -3.2304 -2.4148 U
0.6690 -2.1891 -5.7666 U
3.3083 -1.0822 -6.0545 Se
-4.2419 -4.3374 -2.1269 Se
1.0679 -2.3021 -2.9002 Se
-2.0015 -3.1175 -5.2813 Se
```

# Cs2U2Se5

A geometry-optimized Cs2U2Se5 structure (PBE, Alexandria).

Properties
Energy above the lowest structure with this stoichiometry = 0.000 eV/atom
Formation energy from raw total energies = -1.2390 eV/atom
D(E_F) = 0.9465 states/eV/atom
Density = 6.725 g/cm³

```
Cs2U2Se5
1.0
-3.7079 1.2758 6.9453
1.5789 -7.4918 2.2191
6.8290 6.4112 2.4681
Cs U Se
4 4 10
Cartesian
3.1432 1.0997 1.4761 Cs
2.0787 -2.0083 6.0583 Cs
5.2646 -2.1802 3.2112 Cs
2.6212 2.2036 5.5742 Cs
-1.1265 -5.4423 6.4533 U
-1.0025 -0.7737 2.7111 U
0.4463 -4.7464 2.5856 U
-2.5754 -1.4696 6.5788 U
0.0000 0.0000 0.0000 Se
-1.0645 -3.1080 4.5822 Se
-0.5919 -3.1867 8.1091 Se
1.5924 -1.9343 2.5250 Se
1.5962 -5.4099 5.1060 Se
-0.5957 0.2888 5.5280 Se
5.2918 3.3820 3.5234 Se
3.1075 2.1296 9.1076 Se
3.1037 5.6051 6.5265 Se
5.2956 -0.0936 6.1045 Se
```

# Cs2U3Se6

A geometry-optimized Cs2U3Se6 structure (PBE, Alexandria).

Properties
Energy above the lowest structure with this stoichiometry = 0.390 eV/atom
Formation energy from raw total energies = -0.8614 eV/atom
D(E_F) = 1.4198 states/eV/atom
Density = 6.775 g/cm³

```
Cs2U3Se6
1.0
5.5205 0.0000 0.0000
0.0000 8.6327 0.0000
0.0000 -4.3163 7.4761
Cs U Se
2 3 6
Cartesian
0.0000 4.3163 2.4920 Cs
0.0000 0.0000 4.9841 Cs
2.7603 1.1267 1.9516 U
2.7603 6.3792 0.0000 U
2.7603 -3.1896 5.5245 U
2.7603 2.6186 4.5356 Se
2.7603 -1.6977 2.9405 Se
0.0000 1.0076 1.7452 Se
0.0000 6.6175 0.0000 Se
2.7603 3.3954 0.0000 Se
0.0000 -3.3087 5.7309 Se
```

# CsUSe3

A geometry-optimized CsUSe3 structure (PBE, Alexandria).

Properties
Energy above the lowest structure with this stoichiometry = 0.083 eV/atom
Formation energy from raw total energies = -1.1253 eV/atom
D(E_F) = 0.9121 states/eV/atom
Density = 5.556 g/cm³

```
CsUSe3
1.0
5.4611 0.0000 -0.0001
0.0000 5.5471 0.0000
-2.7308 -2.7735 11.9930
Cs U Se
2 2 6
Cartesian
-1.3654 0.0000 10.1339 Cs
4.0957 2.7735 1.8590 Cs
1.3653 0.0000 4.3787 U
1.3649 2.7735 7.6142 U
1.3650 2.7735 10.2222 Se
1.3652 0.0000 1.7707 Se
1.3651 2.7735 4.7315 Se
1.3651 0.0000 7.2614 Se
-1.3656 2.7735 7.5625 Se
4.0959 0.0000 4.4304 Se
```

# Cs4USe4

A geometry-optimized Cs4USe4 structure (PBE, Alexandria).

Properties
Formation energy from raw total energies = -1.1414 eV/atom
D(E_F) = 0.8925 states/eV/atom
Density = 4.307 g/cm³

```
Cs4USe4
1.0
7.5239 0.0000 0.0000
-3.7620 7.3927 3.7620
0.0000 0.0000 7.5239
Cs U Se
4 1 4
Cartesian
-1.4787 5.2653 6.0452 Cs
1.4787 5.2653 9.0027 Cs
2.2833 2.1274 5.2407 Cs
5.2407 2.1274 2.2833 Cs
0.0000 0.0000 0.0000 U
1.5395 1.5965 1.5395 Se
5.9845 1.5965 5.9845 Se
-2.2225 5.7962 9.7464 Se
2.2225 5.7962 5.3015 Se
```

# CsU4Se6

A geometry-optimized CsU4Se6 structure (PBE, Alexandria).

Properties
Formation energy from raw total energies = -0.8697 eV/atom
D(E_F) = 1.0735 states/eV/atom
Density = 8.229 g/cm³

```
CsU4Se6
1.0
7.5730 -0.0508 -0.0746
-3.5464 6.6915 0.0746
-3.5464 -2.3908 6.2502
Cs U Se
1 4 6
Cartesian
0.0000 0.0000 0.0000 Cs
-2.9858 0.3015 3.6886 U
2.1280 1.7418 2.5616 U
-2.9858 3.3194 1.6365 U
-2.7690 3.1879 4.6883 U
-5.0102 4.5678 3.4276 Se
-5.0102 1.5081 5.5080 Se
4.1339 0.5047 0.7422 Se
2.0133 -1.2208 3.0878 Se
-0.7261 1.9701 2.8973 Se
2.0133 3.3204 0.0000 Se
```

# Cs4USe5

A geometry-optimized Cs4USe5 structure (PBE, Alexandria).

Properties
Formation energy from raw total energies = -1.1700 eV/atom
Density = 4.402 g/cm³

```
Cs4USe5
1.0
-6.6297 0.3423 -2.8288
-0.8486 -3.7811 -7.6725
-5.1611 -6.5452 2.0996
Cs U Se
4 1 5
Cartesian
-7.1835 -6.5856 -2.5349 Cs
-9.1484 -6.6869 -7.1459 Cs
-3.6102 -3.2908 -1.3067 Cs
-5.5751 -3.3921 -5.9178 Cs
-0.2811 0.0145 -0.1199 U
-10.7981 -6.3711 -3.1914 Se
-5.8685 -7.6728 -5.6981 Se
-6.8540 -2.3068 -2.7391 Se
-1.9245 -3.6085 -5.2458 Se
-2.6969 0.1393 -1.1508 Se
```

# Cs2Y2USe6

A geometry-optimized Cs2Y2USe6 structure (PBE, Alexandria).

Properties
Formation energy from raw total energies = -1.6048 eV/atom
D(E_F) = 0.6539 states/eV/atom
Density = 4.883 g/cm³

```
Cs2Y2USe6
1.0
-0.6030 1.8418 -7.0045
-3.6442 -5.7390 2.5694
-5.2089 6.4044 3.4165
Cs Y U Se
2 2 1 6
Cartesian
-1.1149 0.5658 -5.3931 Cs
-3.1324 -4.4631 0.9580 Cs
-5.2353 -0.0106 1.0873 Y
-4.2209 2.5178 -2.1059 Y
-2.6044 3.2022 1.7083 U
-6.6640 1.5097 -0.9214 Se
-5.0153 2.2406 2.9003 Se
-2.7922 0.9975 -0.0971 Se
-4.0154 4.7329 -0.2473 Se
-4.4408 0.2667 -3.9189 Se
-5.4407 -2.2257 -0.7712 Se
```

# Cs2YUSe6

A geometry-optimized Cs2YUSe6 structure (PBE, Alexandria).

Properties
Formation energy from raw total energies = -1.2602 eV/atom
D(E_F) = 0.6217 states/eV/atom
Density = 5.250 g/cm³

```
Cs2YUSe6
1.0
7.8141 0.0000 0.0000
0.0000 7.8134 0.0000
0.0000 0.0000 11.0504
Cs Y U Se
4 2 2 12
Cartesian
3.9071 5.8606 2.7605 Cs
0.0000 1.9528 8.2857 Cs
3.9071 5.8606 8.2899 Cs
0.0000 1.9528 2.7647 Cs
0.0000 5.8549 5.5252 Y
3.9071 1.9585 0.0000 Y
3.9071 1.9485 5.5252 U
0.0000 5.8649 0.0000 U
3.9071 1.9499 2.8412 Se
3.9071 1.9499 8.2092 Se
0.0000 5.8635 2.6840 Se
0.0000 5.8635 8.3663 Se
2.0094 0.0505 5.5252 Se
5.8047 0.0505 5.5252 Se
2.0084 3.8458 5.5252 Se
5.8057 3.8458 5.5252 Se
5.9155 3.9676 0.0000 Se
1.8986 3.9676 0.0000 Se
1.8977 7.7629 0.0000 Se
5.9165 7.7629 0.0000 Se
```

# Cs3Y2USe6

A geometry-optimized Cs3Y2USe6 structure (PBE, Alexandria).

Properties
Formation energy from raw total energies = -1.5421 eV/atom
D(E_F) = 0.8815 states/eV/atom
Density = 5.325 g/cm³

```
Cs3Y2USe6
1.0
7.4349 -0.0008 0.0006
-3.7164 6.4395 0.0006
-1.2397 -2.1466 8.3907
Cs Y U Se
3 2 1 6
Cartesian
-2.4722 4.2896 4.1959 Cs
4.9510 0.0025 4.1959 Cs
1.2394 2.1460 4.1959 Cs
0.0017 4.2922 0.0006 Y
3.7169 2.1465 0.0006 Y
0.0000 0.0000 0.0000 U
3.7275 2.1292 6.8263 Se
2.4694 4.2758 1.5679 Se
-1.2487 2.1629 1.5655 Se
-0.0186 4.2927 6.8263 Se
0.0094 0.0163 6.8239 Se
2.4975 -0.0006 1.5655 Se
```

# Cs2YUSe4

A geometry-optimized Cs2YUSe4 structure (PBE, Alexandria).

Properties
Formation energy from raw total energies = -1.4534 eV/atom
D(E_F) = 0.9584 states/eV/atom
Density = 5.654 g/cm³

```
Cs2YUSe4
1.0
4.2825 0.0000 0.0000
0.0000 7.4124 0.1268
0.0000 -2.6172 8.3616
Cs Y U Se
2 1 1 4
Cartesian
2.1412 -1.3086 4.1808 Cs
0.0000 2.3976 4.2442 Cs
2.1412 3.7062 0.0634 Y
0.0000 0.0000 0.0000 U
2.1412 1.2168 1.5924 Se
2.1412 3.5783 6.8960 Se
0.0000 -0.1075 6.8357 Se
0.0000 4.9026 1.6527 Se
```

# Cs3Y3USe8

A geometry-optimized Cs3Y3USe8 structure (PBE, Alexandria).

Properties
Formation energy from raw total energies = -1.6385 eV/atom
D(E_F) = 0.3889 states/eV/atom
Density = 4.850 g/cm³

```
Cs3Y3USe8
1.0
8.4407 0.0000 0.0000
-4.2204 7.2989 -0.0300
0.0000 -4.8317 8.5505
Cs Y U Se
3 3 1 8
Cartesian
0.0000 0.0000 0.0000 Cs
-2.1102 3.6494 -0.0150 Cs
2.1102 3.6494 -0.0150 Cs
4.2204 -2.4159 4.2753 Y
2.1102 1.2336 4.2602 Y
-2.1102 1.2336 4.2602 Y
0.0000 -2.4159 4.2753 U
0.0000 2.4424 2.6819 Se
4.2204 0.0248 5.8386 Se
4.2204 2.4723 2.7023 Se
0.0000 -0.0052 5.8182 Se
6.3548 -1.2210 2.7174 Se
-2.1344 3.6882 5.8031 Se
2.0859 -1.2210 2.7174 Se
2.1344 3.6882 5.8031 Se
```

# Cs3YU2Se6

A geometry-optimized Cs3YU2Se6 structure (PBE, Alexandria).

Properties
Formation energy from raw total energies = -1.3691 eV/atom
D(E_F) = 0.8503 states/eV/atom
Density = 5.970 g/cm³

```
Cs3YU2Se6
1.0
-2.7702 6.5917 1.9231
1.0126 -5.2325 5.1399
8.3798 2.4178 -0.9669
Cs Y U Se
3 1 2 6
Cartesian
4.5731 -2.0561 4.1212 Cs
2.0491 5.8331 1.9749 Cs
3.3111 1.8885 3.0480 Cs
0.0000 0.0000 0.0000 Y
-0.2482 -1.2915 4.0677 U
-1.5094 2.6508 2.9952 U
4.8267 4.9809 4.1260 Se
0.2853 1.4439 4.9718 Se
1.7955 -1.2039 1.9701 Se
6.0855 1.0463 5.1964 Se
6.3369 2.3332 1.1243 Se
0.5367 2.7307 0.8997 Se
```

# Cs2U3ZnSe8

A geometry-optimized Cs2U3ZnSe8 structure (PBE, Alexandria).

Properties
Formation energy from raw total energies = -1.1136 eV/atom
D(E_F) = 1.0395 states/eV/atom
Density = 5.163 g/cm³

```
Cs2U3ZnSe8
1.0
-1.0007 8.2587 0.6463
-7.0795 3.5618 -2.6115
-6.2340 2.8738 7.4889
Cs U Zn Se
2 3 1 8
Cartesian
-4.7601 3.3177 4.0987 Cs
-7.2575 7.3169 2.9928 Cs
-7.6564 7.6717 -2.1581 U
-4.5939 10.0380 -0.5168 U
-4.0897 5.8772 -0.8424 U
-8.6789 11.6402 -0.5882 Zn
-3.3664 3.7375 0.8929 Se
-11.0888 10.9144 4.9551 Se
-7.1268 5.1243 5.9102 Se
-7.5969 9.0040 6.2138 Se
-10.4525 6.7975 4.6834 Se
-3.9308 7.8528 1.2966 Se
-6.9365 5.5304 -0.3142 Se
-7.4313 9.6139 0.0054 Se
```

# Cs2UZn2Se6

A geometry-optimized Cs2UZn2Se6 structure (PBE, Alexandria).

Properties
Formation energy from raw total energies = -0.8957 eV/atom
D(E_F) = 0.0693 states/eV/atom
Density = 4.718 g/cm³

```
Cs2UZn2Se6
1.0
7.6563 0.0000 0.0000
-3.8282 6.5266 0.0084
0.0000 -3.7138 7.8025
Cs U Zn Se
2 1 2 6
Cartesian
3.8282 2.0431 1.2863 Cs
0.0000 0.7698 6.5245 Cs
3.8282 -1.8569 3.9012 U
3.8282 2.9700 5.3441 Zn
0.0000 -0.1571 2.4667 Zn
3.8282 0.6713 4.7037 Se
-1.8326 5.1920 1.9430 Se
1.9956 -2.3792 5.8679 Se
5.6608 -2.3792 5.8679 Se
1.8326 5.1920 1.9430 Se
0.0000 2.1416 3.1072 Se
```

# Cs4ZrU3Se8

A geometry-optimized Cs4ZrU3Se8 structure (PBE, Alexandria).

Properties
Formation energy from raw total energies = -1.2196 eV/atom
D(E_F) = 0.9640 states/eV/atom
Density = 6.342 g/cm³

```
Cs4ZrU3Se8
1.0
-0.4831 7.1981 -4.2743
-5.6390 -4.3393 -6.6702
-2.8022 -0.3846 7.8944
Cs Zr U Se
4 1 3 8
Cartesian
-0.2416 3.5990 -2.1371 Cs
-1.6427 3.4067 1.8100 Cs
0.0000 0.0000 0.0000 Cs
-1.4011 -0.1923 3.9472 Cs
-2.8195 -2.1697 -3.3351 Zr
-3.0611 1.4294 -5.4722 U
-4.4622 1.2371 -1.5251 U
-4.2206 -2.3620 0.6121 U
-6.6755 -1.7404 2.0721 Se
-5.2283 -1.5419 -2.0057 Se
-3.3857 0.3917 1.0423 Se
-6.9251 1.9774 -0.1356 Se
-1.9993 0.4967 -2.9145 Se
-5.5386 2.0824 -4.0924 Se
-3.6961 4.0160 -1.0445 Se
-2.2488 4.2145 -5.1222 Se
```

# Cs3ZrU3Se8

A geometry-optimized Cs3ZrU3Se8 structure (PBE, Alexandria).

Properties
Formation energy from raw total energies = -1.2650 eV/atom
D(E_F) = 1.0189 states/eV/atom
Density = 5.978 g/cm³

```
Cs3ZrU3Se8
1.0
-5.7281 -4.9040 3.3622
7.4059 0.7474 3.5705
-5.9576 7.7733 1.1881
Cs Zr U Se
3 1 3 8
Cartesian
0.0000 0.0000 0.0000 Cs
3.7029 0.3737 1.7852 Cs
0.8389 -2.0783 3.4663 Cs
-2.9788 3.8866 0.5941 Zr
-5.8428 1.4346 2.2751 U
-2.1399 1.8083 4.0604 U
0.7242 4.2603 2.3793 U
0.6070 1.4864 3.2022 Se
-4.8868 2.1302 4.9186 Se
-2.2284 -0.9327 4.9801 Se
-2.0513 4.5493 3.1407 Se
-6.0578 -1.3190 3.1338 Se
1.7781 4.9356 4.9870 Se
-3.0961 1.2166 1.3954 Se
-1.1836 2.4000 6.7254 Se
```